[1]
UGeAu (PBE, relaxed); total magnetization = 5.6 Bohr magnetons per cell; formation energy = -0.254 eV/atom; SG = P6_3/mmc, No. 194; calculated total energy = -39.89 eV per cell
1.0
4.864 0.000 0.000
-2.432 4.212 0.000
0.000 0.000 5.804
U Ge Au
2 2 2
direct
0.000 0.000 0.000 U
0.000 0.000 0.500 U
0.333 0.667 0.250 Ge
0.667 0.333 0.750 Ge
0.333 0.667 0.750 Au
0.667 0.333 0.250 Au


[2]
La3P2Cl (PBE, relaxed); total magnetization = 0.0 Bohr magnetons per cell; ΔE to the lowest computed polymorph = 0 meV/atom; formation energy without anion corrections = -1.705 eV/atom; SG = Immm, No. 71; calculated total energy = -37.68 eV per cell
1.0
-2.114 2.984 6.428
2.114 -2.984 6.428
2.114 2.984 -6.428
La P Cl
3 2 1
direct
0.000 0.000 0.000 La
0.320 0.320 0.000 La
0.680 0.680 0.000 La
0.163 0.663 0.500 P
0.837 0.337 0.500 P
0.500 0.000 0.500 Cl


[3]
Sm4GeS2Cl (PBE, relaxed); total magnetization = 0.0 Bohr magnetons per cell; formation energy without anion corrections = -1.627 eV/atom; SG = P2/m, No. 10; calculated total energy = -46.61 eV per cell
1.0
7.089 0.000 0.000
0.000 4.081 0.000
-2.331 0.000 6.731
Sm Ge S Cl
4 1 2 1
direct
0.228 0.000 0.227 Sm
0.239 0.500 0.759 Sm
0.761 0.500 0.241 Sm
0.772 0.000 0.773 Sm
0.500 0.000 0.000 Ge
0.000 0.000 0.500 S
0.000 0.500 0.000 S
0.500 0.500 0.500 Cl


[4]
Er8Pd3 (PBE, relaxed); total magnetization = 0.0 Bohr magnetons per cell; formation energy = -0.382 eV/atom; SG = R-3, No. 148; calculated total energy = -56.28 eV per cell
1.0
4.632 2.674 4.096
-4.632 2.674 4.096
0.000 -5.348 4.096
Er Pd
8 3
direct
0.150 0.150 0.150 Er
0.179 0.336 0.637 Er
0.336 0.637 0.179 Er
0.363 0.821 0.664 Er
0.637 0.179 0.336 Er
0.664 0.363 0.821 Er
0.821 0.664 0.363 Er
0.850 0.850 0.850 Er
0.000 0.000 0.500 Pd
0.000 0.500 0.000 Pd
0.500 0.000 0.000 Pd